[1]
10
Lattice="4.1802 0.0000 0.0000 0.0000 4.1802 0.0000 0.0000 0.0000 9.9131" Properties=species:S:1:pos:R:3 comment="Pu2Si4MoIr3 PBE relaxed" e_tot_ev_per_fu=-94.71 pbc="T T T"
Pu 0.0000 2.0901 2.4830
Pu 2.0901 0.0000 7.4300
Si 0.0000 0.0000 0.0000
Si 0.0000 2.0901 6.2938
Si 2.0901 0.0000 3.6193
Si 2.0901 2.0901 0.0000
Mo 0.0000 0.0000 4.9565
Ir 0.0000 2.0901 8.6945
Ir 2.0901 0.0000 1.2186
Ir 2.0901 2.0901 4.9565

=====

[2]
8
Lattice="3.6688 0.0000 0.0000 0.0000 3.6688 0.0000 0.0000 0.0000 8.8065" Properties=species:S:1:pos:R:3 comment="TaSiP2 PBE relaxed" e_tot_ev_per_fu=-27.47 pbc="T T T"
Ta 0.0000 0.0000 0.0000
Ta 1.8344 1.8344 4.4033
Si 0.0000 1.8344 2.2016
Si 1.8344 0.0000 6.6049
P 0.0000 0.0000 4.4033
P 0.0000 1.8344 6.6049
P 1.8344 0.0000 2.2016
P 1.8344 1.8344 0.0000

=====

[3]
16
Lattice="7.6386 0.0000 0.0000 0.0000 9.0216 0.0000 0.0000 0.0000 5.0623" Properties=species:S:1:pos:R:3 comment="NaIO2 PBE relaxed" polymorph_energy_ev_per_atom=0.0000 e_tot_ev_per_fu=-15.92 pbc="T T T"
Na 0.0220 1.0841 0.0000
Na 3.7973 5.5949 2.5311
Na 3.8413 3.4267 0.0000
Na 7.6166 7.9375 2.5311
I 1.8854 6.7594 0.0725
I 1.9339 2.2486 2.6036
I 5.7047 6.7731 0.0725
I 5.7532 2.2622 2.6036
O 0.0263 1.2682 2.5112
O 1.8744 6.7437 1.9609
O 1.9449 2.2328 4.4920
O 3.7930 5.7790 5.0423
O 3.8456 3.2427 2.5112
O 5.6937 6.7888 1.9609
O 5.7642 2.2780 4.4920
O 7.6123 7.7535 5.0423

=====

[4]
5
Lattice="5.5199 0.0000 0.0000 0.0000 5.5199 0.0000 0.0000 0.0000 5.8384" Properties=species:S:1:pos:R:3 comment="InBiSe2Br PBE relaxed" polymorph_energy_ev_per_atom=0.3450 e_tot_ev_per_fu=-15.71 pbc="T T T"
In 0.0000 0.0000 0.0000
Bi 2.7600 2.7600 2.9192
Se 0.0000 2.7600 2.9192
Se 2.7600 0.0000 2.9192
Br 2.7600 2.7600 0.0000

=====

no.,formation energy without anion corrections (meV/atom),Fermi-level density of states (states/eV per atom)
1,-693.6,2.242
2,157.0,0.590
3,-783.4,0.000
4,-89.6,0.556